Fe2O3 | PBE with a Hubbard U | optimized geometry

Values from the calculation:
As for the total moment: 33.92 μB per cell. The volume is 12.9 Å³ per atom. For the electronic total energy, the calculation gives -187.7 eV/cell.

abc: 5.433 5.433 15.164
angles: 90.00 90.00 120.00
Fractional coordinates of all 30 atoms:
Fe 0.000 0.000 0.000
Fe 0.000 0.000 0.169
Fe 0.000 0.000 0.492
Fe 0.000 0.000 0.665
Fe 0.024 0.377 0.840
Fe 0.333 0.667 0.624
Fe 0.352 0.976 0.840
Fe 0.380 0.354 0.346
Fe 0.623 0.648 0.840
Fe 0.646 0.025 0.346
Fe 0.667 0.333 0.632
Fe 0.975 0.620 0.346
O 0.008 0.699 0.231
O 0.009 0.274 0.057
O 0.016 0.308 0.403
O 0.264 0.991 0.057
O 0.292 0.984 0.403
O 0.301 0.310 0.231
O 0.307 0.285 0.575
O 0.311 0.295 0.882
O 0.347 0.014 0.716
O 0.667 0.653 0.716
O 0.690 0.992 0.231
O 0.692 0.708 0.403
O 0.705 0.017 0.882
O 0.715 0.022 0.575
O 0.726 0.736 0.057
O 0.978 0.693 0.575
O 0.983 0.689 0.882
O 0.986 0.333 0.716